(1)
! Ac2VB10 PBE-GGA optimized geometry; values from VASP
&SYSTEM
  ibrav = 0, nat = 26, ntyp = 3
/
ATOMIC_SPECIES
B 10.81 B.upf
V 50.94 V.upf
Ac 227.00 Ac.upf
CELL_PARAMETERS angstrom
-3.822 1.957 -0.062
-2.408 -4.780 -2.497
-2.406 -4.359 10.666
ATOMIC_POSITIONS angstrom
B -6.681 -6.180 7.421
B -1.597 -2.944 5.500
B -4.843 -2.641 5.859
B -3.511 -0.205 0.660
B -3.217 -6.196 2.669
B -1.355 -2.608 1.185
B -3.287 -3.438 5.885
B -5.349 -3.744 2.222
B -1.955 -1.002 0.686
B -3.794 -7.132 8.651
B -2.815 -5.462 1.071
B -4.199 -7.999 6.279
B -3.793 -4.541 2.247
B -2.098 -4.036 1.878
B -5.125 -6.977 7.446
B -2.716 -5.103 6.291
B -1.020 -2.007 -0.483
B -0.615 -1.141 1.889
B -3.459 -6.532 6.984
B -1.999 -3.678 7.098
V -2.407 -4.570 4.084
V 0.000 0.000 0.000
Ac -4.692 -4.182 8.448
Ac -3.944 -3.001 -0.342
Ac -5.350 -5.583 4.781
Ac -3.286 -1.599 3.326
! DFT total energy: -6.88 eV per atom
! DOS at the Fermi energy: 0.169 states/eV/atom
! E_form: -413 meV/atom
! crystal system: orthorhombic



(2)
! Y2HoIn PBE-GGA optimized geometry; values from VASP
&SYSTEM
  ibrav = 0, nat = 8, ntyp = 3
/
ATOMIC_SPECIES
In 114.82 In.upf
Y 88.91 Y.upf
Ho 164.93 Ho.upf
CELL_PARAMETERS angstrom
5.241 0.000 0.000
0.000 6.346 -1.902
0.000 0.178 6.999
ATOMIC_POSITIONS angstrom
In 1.310 2.374 0.797
In 3.931 4.149 4.300
Y 1.310 5.340 2.513
Y 3.931 1.184 2.584
Y 3.931 1.029 6.098
Y 1.310 5.494 -1.000
Ho 1.310 2.494 4.400
Ho 3.931 4.030 0.698
! DFT total energy: -5.33 eV per atom
! DOS at the Fermi energy: 1.146 states/eV/atom
! energy above the most stable polymorph in this dataset: 0.005 eV per atom
! E_form: -266 meV/atom
! crystal system: monoclinic



(3)
! NaIn2CuHg PBE-GGA optimized geometry; values from VASP
&SYSTEM
  ibrav = 0, nat = 5, ntyp = 4
/
ATOMIC_SPECIES
In 114.82 In.upf
Hg 200.59 Hg.upf
Na 22.99 Na.upf
Cu 63.55 Cu.upf
CELL_PARAMETERS angstrom
5.099 0.000 0.000
0.000 5.099 0.000
0.000 0.000 5.191
ATOMIC_POSITIONS angstrom
In 2.549 0.000 0.000
In 0.000 2.549 0.000
Hg 0.000 0.000 2.596
Na 2.549 2.549 2.596
Cu 0.000 0.000 0.000
! DFT total energy: -2.19 eV per atom
! DOS at the Fermi energy: 0.421 states/eV/atom
! energy above the most stable polymorph in this dataset: 0.000 eV per atom
! E_form: 46 meV/atom
! crystal system: tetragonal



(4)
! Pr12Tl5Ir2 PBE-GGA optimized geometry; values from VASP
&SYSTEM
  ibrav = 0, nat = 19, ntyp = 3
/
ATOMIC_SPECIES
Pr 140.91 Pr.upf
Tl 204.38 Tl.upf
Ir 192.22 Ir.upf
CELL_PARAMETERS angstrom
8.077 0.000 0.000
-4.039 8.851 0.092
0.000 -3.013 9.607
ATOMIC_POSITIONS angstrom
Pr 2.143 2.618 0.922
Pr -2.057 4.912 4.142
Pr -1.896 3.220 8.777
Pr 1.896 3.220 8.777
Pr 2.057 4.912 4.142
Pr 4.039 -0.691 2.230
Pr 1.981 0.926 5.556
Pr 0.000 6.529 7.468
Pr 0.000 -2.270 7.921
Pr 6.096 0.926 5.556
Pr 5.935 2.618 0.922
Pr 4.039 8.108 1.778
Tl 0.000 3.451 6.103
Tl 0.000 4.960 1.591
Tl 4.039 2.388 3.595
Tl 0.000 -1.506 4.804
Tl 4.039 0.879 8.108
Ir 5.822 0.000 0.000
Ir 2.255 0.000 0.000
! DFT total energy: -4.78 eV per atom
! DOS at the Fermi energy: 1.025 states/eV/atom
! E_form: -205 meV/atom
! crystal system: monoclinic



(5)
! KPRh4 PBE-GGA optimized geometry; values from VASP
&SYSTEM
  ibrav = 0, nat = 6, ntyp = 3
/
ATOMIC_SPECIES
Rh 102.91 Rh.upf
K 39.10 K.upf
P 30.97 P.upf
CELL_PARAMETERS angstrom
0.000 3.724 3.724
3.724 0.000 3.724
3.724 3.724 0.000
ATOMIC_POSITIONS angstrom
Rh 4.663 4.663 2.785
Rh 2.785 4.663 4.663
Rh 2.785 2.785 2.785
Rh 4.663 2.785 4.663
K 5.586 5.586 5.586
P 0.000 0.000 0.000
! DFT total energy: -5.38 eV per atom
! DOS at the Fermi energy: 1.818 states/eV/atom
! E_form: 601 meV/atom
! crystal system: cubic



(6)
! BrO PBE-GGA optimized geometry; values from VASP
&SYSTEM
  ibrav = 0, nat = 8, ntyp = 2
/
ATOMIC_SPECIES
O 16.00 O.upf
Br 79.90 Br.upf
CELL_PARAMETERS angstrom
0.033 1.150 -4.386
6.134 -2.626 -1.067
-0.835 -7.464 -1.811
ATOMIC_POSITIONS angstrom
O 5.791 -2.329 -3.131
O 0.349 -0.444 -1.302
O 1.683 -1.389 -2.338
O 1.519 -2.626 -2.252
Br 0.151 -3.503 -3.791
Br 3.568 -6.422 -6.382
Br 1.990 -5.012 -5.120
Br 4.194 -3.302 -4.061
! DFT total energy: -3.12 eV per atom
! energy above the most stable polymorph in this dataset: 0.050 eV per atom
! energy relative to the elements, uncorrected: 0.1933 eV per atom
! crystal system: triclinic



(7)
! La5Pm3Tl2 PBE-GGA optimized geometry; values from VASP
&SYSTEM
  ibrav = 0, nat = 20, ntyp = 3
/
ATOMIC_SPECIES
Tl 204.38 Tl.upf
La 138.91 La.upf
Pm 145.00 Pm.upf
CELL_PARAMETERS angstrom
-2.533 6.089 1.500
-6.696 2.894 -7.805
-8.169 -1.307 6.759
ATOMIC_POSITIONS angstrom
Tl -5.382 2.825 -5.306
Tl -12.016 4.852 5.760
Tl -9.718 4.749 -5.189
Tl -7.680 2.928 5.644
La -3.706 0.401 -0.259
La -13.692 7.276 0.714
La -11.743 5.685 2.838
La -10.035 3.899 -2.277
La -7.362 3.777 2.731
La -9.332 5.361 0.602
La -8.066 2.316 -0.148
La -12.425 4.231 -0.036
La -5.654 1.992 -2.384
La -4.972 3.445 0.491
Pm -6.903 5.447 -3.273
Pm -6.404 0.215 3.560
Pm -1.900 4.567 1.125
Pm -10.494 2.229 3.727
Pm -0.633 1.522 0.375
Pm -10.994 7.461 -3.106
! DFT total energy: -4.29 eV per atom
! DOS at the Fermi energy: 1.127 states/eV/atom
! E_form: 72 meV/atom
! crystal system: orthorhombic



(8)
! La2RhS PBE-GGA optimized geometry; values from VASP
&SYSTEM
  ibrav = 0, nat = 8, ntyp = 3
/
ATOMIC_SPECIES
S 32.06 S.upf
Rh 102.91 Rh.upf
La 138.91 La.upf
CELL_PARAMETERS angstrom
4.197 0.000 0.000
0.000 3.976 -0.706
0.000 0.080 11.997
ATOMIC_POSITIONS angstrom
S 1.049 0.785 4.418
S 3.147 3.271 6.873
Rh 1.049 1.880 10.582
Rh 3.147 2.176 0.709
La 1.049 1.306 7.354
La 1.049 0.266 1.495
La 3.147 2.750 3.938
La 3.147 3.790 9.796
! DFT total energy: -6.75 eV per atom
! DOS at the Fermi energy: 0.551 states/eV/atom
! energy relative to the elements, uncorrected: -1.4188 eV per atom
! crystal system: orthorhombic



(9)
! ReIrRh PBE-GGA optimized geometry; values from VASP
&SYSTEM
  ibrav = 0, nat = 6, ntyp = 3
/
ATOMIC_SPECIES
Rh 102.91 Rh.upf
Re 186.21 Re.upf
Ir 192.22 Ir.upf
CELL_PARAMETERS angstrom
2.687 0.432 -0.328
1.631 7.063 -0.244
0.568 0.038 4.712
ATOMIC_POSITIONS angstrom
Rh 1.718 2.494 0.180
Rh 3.167 5.039 3.960
Re 2.438 0.361 3.282
Re 2.447 7.172 0.858
Ir 3.344 2.727 2.363
Ir 1.541 4.806 1.777
! DFT total energy: -9.65 eV per atom
! DOS at the Fermi energy: 0.919 states/eV/atom
! energy above the most stable polymorph in this dataset: 0.047 eV per atom
! E_form: -100 meV/atom
! crystal system: monoclinic



(10)
! KAgIr3 PBE-GGA optimized geometry; values from VASP
&SYSTEM
  ibrav = 0, nat = 5, ntyp = 3
/
ATOMIC_SPECIES
K 39.10 K.upf
Ir 192.22 Ir.upf
Ag 107.87 Ag.upf
CELL_PARAMETERS angstrom
4.738 0.000 0.000
0.000 4.738 0.000
0.000 0.000 4.738
ATOMIC_POSITIONS angstrom
K 0.000 0.000 0.000
Ir 0.000 0.000 2.369
Ir 0.000 2.369 0.000
Ir 2.369 0.000 0.000
Ag 2.369 2.369 2.369
! DFT total energy: -3.03 eV per atom
! DOS at the Fermi energy: 1.596 states/eV/atom
! energy above the most stable polymorph in this dataset: 1.016 eV per atom
! E_form: 3081 meV/atom
! crystal system: cubic